1.
# La2P2PdPt PBE-GGA optimized geometry
# crystal system	hexagonal
# size of the total moment	0.006	μB per formula unit
data_La2P2PdPt
_symmetry_space_group_name_H-M 'P -6 m 2'
_symmetry_Int_Tables_number 187
_symmetry_space_group_name_Hall 'P -6 2'
_cell_length_a 4.2620
_cell_length_b 4.2620
_cell_length_c 8.1030
_cell_angle_alpha 90.00
_cell_angle_beta 90.00
_cell_angle_gamma 120.00
loop_
_atom_site_label
_atom_site_type_symbol
_atom_site_fract_x
_atom_site_fract_y
_atom_site_fract_z
La1 La 0.0000 0.0000 0.2493
P1 P 0.3333 0.6667 0.5000
P2 P 0.6667 0.3333 0.0000
Pd1 Pd 0.3333 0.6667 0.0000
Pt1 Pt 0.6667 0.3333 0.5000

=====

2.
# Na4SbAsAu2 PBE-GGA optimized geometry
# crystal system	orthorhombic
data_Na4SbAsAu2
_symmetry_space_group_name_H-M 'A m m 2'
_symmetry_Int_Tables_number 38
_symmetry_space_group_name_Hall 'A 2 -2'
_cell_length_a 5.8175
_cell_length_b 9.0339
_cell_length_c 7.2684
_cell_angle_alpha 90.00
_cell_angle_beta 90.00
_cell_angle_gamma 90.00
loop_
_atom_site_label
_atom_site_type_symbol
_atom_site_fract_x
_atom_site_fract_y
_atom_site_fract_z
Na1 Na 0.0000 0.1770 0.0000
Na2 Na 0.5000 0.1849 0.6802
Sb1 Sb 0.0000 0.0000 0.6329
As1 As 0.5000 0.0000 0.0341
Au1 Au 0.2521 0.0000 0.3216

=====

3.
# DyLuGe2Ir PBE-GGA optimized geometry
# crystal system	monoclinic
# size of the total moment	0.002	μB per formula unit
data_DyLuGe2Ir
_symmetry_space_group_name_H-M 'C 1 2/m 1'
_symmetry_Int_Tables_number 12
_symmetry_space_group_name_Hall '-C 2y'
_cell_length_a 10.4494
_cell_length_b 4.2714
_cell_length_c 10.2430
_cell_angle_alpha 90.00
_cell_angle_beta 116.86
_cell_angle_gamma 90.00
loop_
_atom_site_label
_atom_site_type_symbol
_atom_site_fract_x
_atom_site_fract_y
_atom_site_fract_z
Dy1 Dy 0.0071 0.0000 0.3280
Lu1 Lu 0.1890 0.0000 0.1187
Ge1 Ge 0.0231 0.5000 0.8866
Ge2 Ge 0.1472 0.5000 0.5532
Ir1 Ir 0.2274 0.5000 0.3318

=====

4.
# Pu PBE-GGA optimized geometry
# calculated formation energy	0.29	eV per atom
# crystal system	trigonal
# size of the total moment	0.000	μB per formula unit
data_Pu
_symmetry_space_group_name_H-M 'R -3 m'
_symmetry_Int_Tables_number 166
_symmetry_space_group_name_Hall '-R 3 2"'
_cell_length_a 3.5682
_cell_length_b 3.5682
_cell_length_c 10.1457
_cell_angle_alpha 90.00
_cell_angle_beta 90.00
_cell_angle_gamma 120.00
loop_
_atom_site_label
_atom_site_type_symbol
_atom_site_fract_x
_atom_site_fract_y
_atom_site_fract_z
Pu1 Pu 0.0000 0.0000 0.2249

=====

5.
# ZrSnSb PBE-GGA optimized geometry
# crystal system	cubic
# size of the total moment	0.020	μB per formula unit
data_ZrSnSb
_symmetry_space_group_name_H-M 'F -4 3 m'
_symmetry_Int_Tables_number 216
_symmetry_space_group_name_Hall 'F -4 2 3'
_cell_length_a 7.0283
_cell_length_b 7.0283
_cell_length_c 7.0283
_cell_angle_alpha 90.00
_cell_angle_beta 90.00
_cell_angle_gamma 90.00
loop_
_atom_site_label
_atom_site_type_symbol
_atom_site_fract_x
_atom_site_fract_y
_atom_site_fract_z
Zr1 Zr 0.0000 0.0000 0.0000
Sn1 Sn 0.0000 0.0000 0.5000
Sb1 Sb 0.2500 0.2500 0.7500

=====

6.
# Co11Ni4 PBE-GGA optimized geometry
# calculated formation energy	0.07	eV per atom
# crystal system	tetragonal
# size of the total moment	21.055	μB per formula unit
data_Co11Ni4
_symmetry_space_group_name_H-M 'P 42/m n m'
_symmetry_Int_Tables_number 136
_symmetry_space_group_name_Hall '-P 4n 2n'
_cell_length_a 8.5332
_cell_length_b 8.5332
_cell_length_c 4.4987
_cell_angle_alpha 90.00
_cell_angle_beta 90.00
_cell_angle_gamma 90.00
loop_
_atom_site_label
_atom_site_type_symbol
_atom_site_fract_x
_atom_site_fract_y
_atom_site_fract_z
Co1 Co 0.0000 0.0000 0.0000
Co2 Co 0.0386 0.3664 0.5000
Co3 Co 0.0982 0.0982 0.5000
Co4 Co 0.1825 0.8175 0.2507
Ni1 Ni 0.0652 0.2634 0.0000

=====

Number 1: E_tot -6.67 eV/atom. Number 2: E_tot -3.04 eV/atom. Number 3: E_tot -6.36 eV/atom. Number 4: E_tot -13.83 eV/atom. Number 5: E_tot -5.37 eV/atom. Number 6: E_tot -6.63 eV/atom.